First-principles (GGA-PBE) data for crystalline Cs2ZnHg at its relaxed geometry, as listed in Alexandria via LeMat-Bulk.

a b c (Å): 4.5772 4.5772 9.1569
angles (deg): 90.00 90.00 90.00
With the nearest neighbours (Å) after each atom.
Positions (direct):
Cs (0.0000, 0.0000, 0.7525)  4 Zn 3.95, 4 Hg 3.98
Cs (0.0000, 0.0000, 0.2475)  4 Zn 3.95, 4 Hg 3.98
Zn (0.5000, 0.5000, 0.0000)  8 Cs 3.95
Hg (0.5000, 0.5000, 0.5000)  8 Cs 3.98

space group: P4/mmm, No. 123
formation energy: 22.4 meV/atom

***

First-principles (GGA-PBE) data for crystalline Cs2ZnHg7 at its relaxed geometry, as listed in Alexandria via LeMat-Bulk.

a b c (Å): 5.3480 5.3480 12.0440
angles (deg): 90.00 90.00 90.00
With the nearest neighbours (Å) after each atom.
Positions (direct):
Cs (0.5000, 0.0000, 0.7569)  15 Hg 3.96-4.19, 2 Zn 3.96
Cs (0.0000, 0.5000, 0.2431)  15 Hg 3.96-4.19, 2 Zn 3.96
Zn (0.5000, 0.5000, 0.0000)  4 Hg 2.96
Hg (0.0000, 0.5000, 0.8954)  3 Hg 2.96-3.08, 2 Zn 2.96
Hg (0.5000, 0.0000, 0.3602)  5 Hg 3.08-3.16
Hg (0.5000, 0.0000, 0.1046)  3 Hg 2.96-3.08, 2 Zn 2.96
Hg (0.0000, 0.5000, 0.6398)  5 Hg 3.08-3.16
Hg (0.0000, 0.0000, 0.5000)  4 Hg 3.16
Hg (0.0000, 0.0000, 0.0000)  4 Hg 2.96
Hg (0.5000, 0.5000, 0.5000)  4 Hg 3.16

space group: P-4m2, No. 115
formation energy: -156.1 meV/atom

***

First-principles (GGA-PBE) data for crystalline Cs4Zn2Hg at its relaxed geometry, as listed in Alexandria via LeMat-Bulk.

a b c (Å): 7.3886 7.3886 10.3419
angles (deg): 69.07 69.07 90.00
With the nearest neighbours (Å) after each atom.
Positions (direct):
Cs (0.7824, 0.7824, 0.4352)  1 Zn 3.74, 1 Hg 3.88
Cs (0.2176, 0.2176, 0.5648)  1 Zn 3.74, 1 Hg 3.88
Cs (0.0000, 0.5000, 0.0000)  2 Hg 3.69, 4 Zn 3.92
Cs (0.5000, 0.0000, 0.0000)  2 Hg 3.69, 4 Zn 3.92
Zn (0.5729, 0.5729, 0.8541)  1 Zn 2.60
Zn (0.4271, 0.4271, 0.1459)  1 Zn 2.60
Hg (0.0000, 0.0000, 0.0000)  6 Cs 3.69-3.88

space group: I4/mmm, No. 139
formation energy: 79.6 meV/atom

***

First-principles (GGA-PBE) data for crystalline Cs2Zn2Hg at its relaxed geometry, as listed in Alexandria via LeMat-Bulk.

a b c (Å): 7.2912 7.2912 6.6371
angles (deg): 56.68 56.68 90.00
With the nearest neighbours (Å) after each atom.
Positions (direct):
Cs (0.7500, 0.2500, 0.5000)  4 Zn 3.73
Cs (0.2500, 0.7500, 0.5000)  4 Zn 3.73
Zn (0.3433, 0.3433, 0.3134)  1 Zn 2.62, 1 Hg 2.87
Zn (0.6567, 0.6567, 0.6866)  1 Zn 2.62, 1 Hg 2.87
Hg (0.0000, 0.0000, 0.0000)  2 Zn 2.87

space group: I4/mmm, No. 139
formation energy: 96.8 meV/atom

***

First-principles (GGA-PBE) data for crystalline Cs2Zn2Hg at its relaxed geometry, as listed in Alexandria via LeMat-Bulk.

a b c (Å): 4.1469 4.1469 11.8788
angles (deg): 79.95 79.95 90.00
With the nearest neighbours (Å) after each atom.
Positions (direct):
Cs (0.3862, 0.3862, 0.2276)  4 Zn 3.76, 4 Hg 3.93, 4 Cs 4.15
Cs (0.6138, 0.6138, 0.7724)  4 Zn 3.76, 4 Hg 3.93, 4 Cs 4.15
Zn (0.7500, 0.2500, 0.5000)  4 Zn 2.93
Zn (0.2500, 0.7500, 0.5000)  4 Zn 2.93
Hg (0.0000, 0.0000, 0.0000)  8 Cs 3.93, 4 Hg 4.15

space group: I4/mmm, No. 139
formation energy: 75.8 meV/atom

***

First-principles (GGA-PBE) data for crystalline Cs2Zn2Hg at its relaxed geometry, as listed in Alexandria via LeMat-Bulk.

a b c (Å): 9.1203 9.1203 5.2181
angles (deg): 90.00 90.00 90.00
With the nearest neighbours (Å) after each atom.
Positions (direct):
Cs (0.1895, 0.6895, 0.5000)  6 Zn 3.73-3.82
Cs (0.6895, 0.8105, 0.5000)  6 Zn 3.73-3.82
Cs (0.8105, 0.3105, 0.5000)  6 Zn 3.73-3.82
Cs (0.3105, 0.1895, 0.5000)  6 Zn 3.73-3.82
Zn (0.3965, 0.8965, 0.0000)  1 Zn 2.67
Zn (0.8965, 0.6035, 0.0000)  1 Zn 2.67
Zn (0.6035, 0.1035, 0.0000)  1 Zn 2.67
Zn (0.1035, 0.3965, 0.0000)  1 Zn 2.67
Hg (0.0000, 0.0000, 0.0000)  4 Zn 3.74
Hg (0.5000, 0.5000, 0.0000)  4 Zn 3.74

space group: P4/mbm, No. 127
formation energy: 85.1 meV/atom

***

First-principles (GGA-PBE) data for crystalline CsZn3Hg3 at its relaxed geometry, as listed in Alexandria via LeMat-Bulk.

a b c (Å): 7.6428 7.6428 7.6428
angles (deg): 90.00 90.00 90.00
With the nearest neighbours (Å) after each atom.
Positions (direct):
Cs (0.5000, 0.5000, 0.5000)  12 Hg 4.27, 12 Zn 4.27
Cs (0.0000, 0.0000, 0.0000)  12 Hg 4.27, 12 Zn 4.27
Zn (0.2500, 0.0000, 0.5000)  4 Hg 2.70
Zn (0.0000, 0.5000, 0.2500)  4 Hg 2.70
Zn (0.5000, 0.7500, 0.0000)  4 Hg 2.70
Zn (0.7500, 0.0000, 0.5000)  4 Hg 2.70
Zn (0.0000, 0.5000, 0.7500)  4 Hg 2.70
Zn (0.5000, 0.2500, 0.0000)  4 Hg 2.70
Hg (0.0000, 0.2500, 0.5000)  4 Zn 2.70
Hg (0.0000, 0.7500, 0.5000)  4 Zn 2.70
Hg (0.5000, 0.0000, 0.7500)  4 Zn 2.70
Hg (0.7500, 0.5000, 0.0000)  4 Zn 2.70
Hg (0.5000, 0.0000, 0.2500)  4 Zn 2.70
Hg (0.2500, 0.5000, 0.0000)  4 Zn 2.70

space group: Pm-3n, No. 223
formation energy: 45.2 meV/atom

***

First-principles (GGA-PBE) data for crystalline Cs4ZnHg2 at its relaxed geometry, as listed in Alexandria via LeMat-Bulk.

a b c (Å): 6.9560 6.9560 11.5758
angles (deg): 72.52 72.52 90.00
With the nearest neighbours (Å) after each atom.
Positions (direct):
Cs (0.6874, 0.6874, 0.6253)  1 Hg 3.81
Cs (0.3126, 0.3126, 0.3747)  1 Hg 3.81
Cs (0.0000, 0.5000, 0.0000)  2 Zn 3.48
Cs (0.5000, 0.0000, 0.0000)  2 Zn 3.48
Zn (0.0000, 0.0000, 0.0000)  2 Hg 2.74
Hg (0.8694, 0.8694, 0.2613)  1 Zn 2.74
Hg (0.1306, 0.1306, 0.7387)  1 Zn 2.74

space group: I4/mmm, No. 139
formation energy: -17.0 meV/atom

***

First-principles (GGA-PBE) data for crystalline Cs4ZnHg4 at its relaxed geometry, as listed in Alexandria via LeMat-Bulk.

a b c (Å): 7.7613 9.5156 7.7613
angles (deg): 65.93 90.00 114.07
With the nearest neighbours (Å) after each atom.
Positions (direct):
Cs (0.1462, 0.7212, 0.4250)  1 Zn 3.81, 6 Hg 3.89-3.98
Cs (0.5750, 0.7212, 0.8538)  1 Zn 3.81, 6 Hg 3.89-3.98
Cs (0.4250, 0.2788, 0.5750)  1 Zn 3.81, 6 Hg 3.89-3.98
Cs (0.8538, 0.2788, 0.1462)  1 Zn 3.81, 6 Hg 3.89-3.98
Zn (0.0000, 0.0000, 0.0000)  4 Hg 2.84
Hg (0.3172, 0.2105, 0.1067)  1 Zn 2.84
Hg (0.8933, 0.2105, 0.6828)  1 Zn 2.84
Hg (0.1067, 0.7895, 0.8933)  1 Zn 2.84
Hg (0.6828, 0.7895, 0.3172)  1 Zn 2.84

space group: I-42m, No. 121
formation energy: -152.2 meV/atom

***

First-principles (GGA-PBE) data for crystalline CsZn2Hg at its relaxed geometry, as listed in Alexandria via LeMat-Bulk.

a b c (Å): 5.5546 5.5546 10.4992
angles (deg): 74.66 74.66 90.00
With the nearest neighbours (Å) after each atom.
Positions (direct):
Cs (0.5000, 0.5000, 0.0000)  4 Hg 3.93, 8 Zn 3.94-3.95
Cs (0.2500, 0.7500, 0.5000)  4 Hg 3.93, 8 Zn 3.94-3.95
Zn (0.8752, 0.1250, 0.2500)  2 Zn 2.78, 2 Hg 2.80
Zn (0.8748, 0.6250, 0.2500)  2 Zn 2.78, 2 Hg 2.80
Zn (0.3750, 0.1248, 0.7500)  2 Zn 2.78, 2 Hg 2.80
Zn (0.8750, 0.1252, 0.7500)  2 Zn 2.78, 2 Hg 2.80
Hg (0.0000, 0.0000, 0.0000)  4 Zn 2.80
Hg (0.7500, 0.2500, 0.5000)  4 Zn 2.80

space group: I4_1/amd, No. 141
formation energy: 70.7 meV/atom

***

First-principles (GGA-PBE) data for crystalline CsZn3Hg at its relaxed geometry, as listed in Alexandria via LeMat-Bulk.

a b c (Å): 7.2938 7.2938 7.2938
angles (deg): 90.00 90.00 90.00
With the nearest neighbours (Å) after each atom.
Positions (direct):
Cs (0.0000, 0.0000, 0.0000)  6 Zn 3.65
Zn (0.0000, 0.5000, 0.0000)  2 Cs 3.65
Zn (0.0000, 0.0000, 0.5000)  2 Cs 3.65
Zn (0.5000, 0.0000, 0.0000)  2 Cs 3.65
Hg (0.5000, 0.5000, 0.5000)  12 Zn 5.16

space group: Pm-3m, No. 221
formation energy: 659.3 meV/atom

***

First-principles (GGA-PBE) data for crystalline Cs2ZrHg at its relaxed geometry, as listed in Alexandria via LeMat-Bulk.

a b c (Å): 6.3868 6.3868 6.3868
angles (deg): 60.00 60.00 60.00
With the nearest neighbours (Å) after each atom.
Positions (direct):
Cs (0.2500, 0.2500, 0.2500)  4 Zr 3.91, 4 Hg 3.91
Cs (0.7500, 0.7500, 0.7500)  4 Zr 3.91, 4 Hg 3.91
Hg (0.5000, 0.5000, 0.5000)  8 Cs 3.91
Zr (0.0000, 0.0000, 0.0000)  8 Cs 3.91

space group: Fm-3m, No. 225
formation energy: 942.0 meV/atom

***

no.,Fermi-level density of states (states/eV/f.u.),magnetic moment (μB/atom)
1,4.1,0.00
2,5.5,0.00
3,6.4,0.00
4,3.4,0.00
5,2.4,0.00
6,1.8,0.00
7,3.9,0.00
8,5.6,0.00
9,7.2,0.00
10,1.2,0.00
11,5.8,0.00
12,32.2,1.00